Record 1
A relaxed structure of NbFeRh3. Source: Alexandria via LeMat-Bulk, functional GGA-PBE.

a = 6.3342 Å, b = 6.3342 Å, c = 4.5057 Å
α = 90.00°, β = 90.00°, γ = 120.00°
Space group P6_3/mmc (No. 194)
Symmetry-distinct sites (fractional):
Nb: 0.3333 0.6667 0.2500
Fe: 0.0000 0.0000 0.0000
Rh: 0.1952 0.3903 0.7500

Calculated values
ΔE_f	158	meV/atom
offset from the most stable computed form	0.000	kcal/mol of atoms

Record 2
A relaxed structure of Nb2Fe2Rh. Source: Alexandria via LeMat-Bulk, functional GGA-PBE.

a = 7.1237 Å, b = 7.1237 Å, c = 2.9327 Å
α = 90.00°, β = 90.00°, γ = 90.00°
Space group P4/mbm (No. 127)
Symmetry-distinct sites (fractional):
Nb: 0.1570 0.3430 0.0000
Fe: 0.1387 0.6387 0.5000
Rh: 0.0000 0.0000 0.0000

Calculated values
ΔE_f	182	meV/atom
offset from the most stable computed form	6.480	kcal/mol of atoms

Record 3
A relaxed structure of Nb2FeRh. Source: Alexandria via LeMat-Bulk, functional GGA-PBE.

a = 4.1025 Å, b = 4.1025 Å, c = 3.6700 Å
α = 90.00°, β = 90.00°, γ = 90.00°
Space group P4/mmm (No. 123)
Symmetry-distinct sites (fractional):
Nb: 0.0000 0.5000 0.0000
Fe: 0.0000 0.0000 0.5000
Rh: 0.5000 0.5000 0.5000

Calculated values
ΔE_f	-130	meV/atom
offset from the most stable computed form	1.331	kcal/mol of atoms

Record 4
A relaxed structure of NbFeRh. Source: Alexandria via LeMat-Bulk, functional GGA-PBE.

a = 4.2739 Å, b = 4.2815 Å, c = 9.7228 Å
α = 90.00°, β = 90.00°, γ = 90.00°
Space group Cmmm (No. 65)
Symmetry-distinct sites (fractional):
Nb: 0.0000 0.0000 0.1626
Fe: 0.0000 0.0000 0.5000
Fe: 0.0000 0.5000 0.0000
Rh: 0.0000 0.5000 0.3465

Calculated values
ΔE_f	-142	meV/atom

Record 5
A relaxed structure of Nb2FeRh. Source: Alexandria via LeMat-Bulk, functional GGA-PBE.

a = 6.9718 Å, b = 6.9718 Å, c = 5.3821 Å
α = 90.00°, β = 90.00°, γ = 90.00°
Space group I-42d (No. 122)
Symmetry-distinct sites (fractional):
Nb: 0.2375 0.7500 0.1250
Fe: 0.0000 0.0000 0.0000
Rh: 0.0000 0.0000 0.5000

Calculated values
ΔE_f	285	meV/atom
offset from the most stable computed form	10.900	kcal/mol of atoms

Record 6
A relaxed structure of TiNbFeRh. Source: Alexandria via LeMat-Bulk, functional GGA-PBE.

a = 6.2114 Å, b = 6.2114 Å, c = 6.2114 Å
α = 90.00°, β = 90.00°, γ = 90.00°
Space group F-43m (No. 216)
Symmetry-distinct sites (fractional):
Ti: 0.0000 0.0000 0.0000
Nb: 0.0000 0.0000 0.5000
Fe: 0.2500 0.2500 0.7500
Rh: 0.2500 0.2500 0.2500

Calculated values
ΔE_f	-312	meV/atom

Record 7
A relaxed structure of NbFeRhW2. Source: Alexandria via LeMat-Bulk, functional GGA-PBE.

a = 4.4357 Å, b = 4.4357 Å, c = 4.4555 Å
α = 90.00°, β = 90.00°, γ = 90.00°
Space group P4/mmm (No. 123)
Symmetry-distinct sites (fractional):
Nb: 0.0000 0.0000 0.0000
Fe: 0.5000 0.5000 0.5000
Rh: 0.5000 0.5000 0.0000
W: 0.0000 0.5000 0.5000

Calculated values
ΔE_f	1112	meV/atom

Record 8
A relaxed structure of ZrNbFe2Rh. Source: Alexandria via LeMat-Bulk, functional GGA-PBE.

a = 4.3703 Å, b = 4.3703 Å, c = 5.0952 Å
α = 90.00°, β = 90.00°, γ = 90.00°
Space group P4/mmm (No. 123)
Symmetry-distinct sites (fractional):
Zr: 0.0000 0.0000 0.0000
Nb: 0.0000 0.0000 0.5000
Fe: 0.0000 0.5000 0.5000
Rh: 0.5000 0.5000 0.0000

Calculated values
ΔE_f	1310	meV/atom

Record 9
A relaxed structure of NbFe2Ru. Source: Alexandria via LeMat-Bulk, functional GGA-PBE.

a = 3.7650 Å, b = 3.7650 Å, c = 3.8506 Å
α = 90.00°, β = 90.00°, γ = 90.00°
Space group P4/mmm (No. 123)
Symmetry-distinct sites (fractional):
Nb: 0.0000 0.0000 0.0000
Fe: 0.0000 0.5000 0.5000
Ru: 0.5000 0.5000 0.0000

Calculated values
ΔE_f	-16	meV/atom
offset from the most stable computed form	0.000	kcal/mol of atoms

Record 10
A relaxed structure of Nb2FeRu. Source: Alexandria via LeMat-Bulk, functional GGA-PBE.

a = 6.2879 Å, b = 6.2879 Å, c = 6.2879 Å
α = 90.00°, β = 90.00°, γ = 90.00°
Space group Fm-3m (No. 225)
Symmetry-distinct sites (fractional):
Nb: 0.2500 0.2500 0.2500
Fe: 0.0000 0.0000 0.0000
Ru: 0.0000 0.0000 0.5000

Calculated values
ΔE_f	-118	meV/atom
offset from the most stable computed form	0.627	kcal/mol of atoms

Record 11
A relaxed structure of NbFe2Ru. Source: Alexandria via LeMat-Bulk, functional GGA-PBE.

a = 3.5854 Å, b = 3.5854 Å, c = 18.9094 Å
α = 90.00°, β = 90.00°, γ = 90.00°
Space group I-42d (No. 122)
Symmetry-distinct sites (fractional):
Nb: 0.0000 0.0000 0.0000
Fe: 0.2410 0.2500 0.6250
Ru: 0.0000 0.0000 0.5000

Calculated values
ΔE_f	453	meV/atom
offset from the most stable computed form	10.817	kcal/mol of atoms

Record 12
A relaxed structure of Nb2FeRu. Source: Alexandria via LeMat-Bulk, functional GGA-PBE.

a = 2.9291 Å, b = 2.9291 Å, c = 25.5180 Å
α = 90.00°, β = 90.00°, γ = 120.00°
Space group R-3m (No. 166, hexagonal axes)
Symmetry-distinct sites (fractional):
Nb: 0.0000 0.0000 0.2474
Fe: 0.0000 0.0000 0.5000
Ru: 0.0000 0.0000 0.0000

Calculated values
ΔE_f	170	meV/atom
offset from the most stable computed form	7.286	kcal/mol of atoms

Record 13
A relaxed structure of NbFeRu2. Source: Alexandria via LeMat-Bulk, functional GGA-PBE.

a = 3.8153 Å, b = 3.8153 Å, c = 17.3582 Å
α = 90.00°, β = 90.00°, γ = 90.00°
Space group I-42d (No. 122)
Symmetry-distinct sites (fractional):
Nb: 0.0000 0.0000 0.0000
Fe: 0.0000 0.0000 0.5000
Ru: 0.2089 0.2500 0.6250

Calculated values
ΔE_f	496	meV/atom

Record 14
A relaxed structure of NbFe2Ru2. Source: Alexandria via LeMat-Bulk, functional GGA-PBE.

a = 7.1383 Å, b = 7.1383 Å, c = 2.6737 Å
α = 90.00°, β = 90.00°, γ = 90.00°
Space group P4/mbm (No. 127)
Symmetry-distinct sites (fractional):
Nb: 0.0000 0.0000 0.0000
Fe: 0.1696 0.3304 0.5000
Ru: 0.1270 0.6270 0.0000

Calculated values
ΔE_f	127	meV/atom
offset from the most stable computed form	1.595	kcal/mol of atoms

Record 15
A relaxed structure of NbFeRu3. Source: Alexandria via LeMat-Bulk, functional GGA-PBE.

a = 4.6728 Å, b = 4.6728 Å, c = 4.6728 Å
α = 90.00°, β = 90.00°, γ = 90.00°
Space group Pm-3m (No. 221)
Symmetry-distinct sites (fractional):
Nb: 0.0000 0.0000 0.0000
Fe: 0.5000 0.5000 0.5000
Ru: 0.0000 0.0000 0.5000

Calculated values
ΔE_f	1719	meV/atom
offset from the most stable computed form	13.634	kcal/mol of atoms

Record 16
A relaxed structure of Nb6Fe5Ru. Source: Alexandria via LeMat-Bulk, functional GGA-PBE.

a = 4.3878 Å, b = 6.1929 Å, c = 6.9318 Å
α = 90.00°, β = 108.29°, γ = 90.00°
Space group P2/m (No. 10)
Symmetry-distinct sites (fractional):
Nb: 0.0000 0.2442 0.0000
Nb: 0.3306 0.2480 0.6608
Fe: 0.1653 0.0000 0.3310
Fe: 0.1653 0.5000 0.3314
Fe: 0.5000 0.0000 0.0000
Ru: 0.5000 0.5000 0.0000

Calculated values
ΔE_f	-73	meV/atom

Record 17
A relaxed structure of Nb4FeRu. Source: Alexandria via LeMat-Bulk, functional GGA-PBE.

a = 6.0514 Å, b = 6.0514 Å, c = 6.1004 Å
α = 90.00°, β = 90.18°, γ = 90.00°
Space group C2/m (No. 12)
Symmetry-distinct sites (fractional):
Nb: 0.2496 0.2502 0.2407
Fe: 0.0000 0.0000 0.0000
Ru: 0.0000 0.5000 0.5000

Calculated values
ΔE_f	282	meV/atom

Record 18
A relaxed structure of NbFeRu2. Source: Alexandria via LeMat-Bulk, functional GGA-PBE.

a = 3.8961 Å, b = 3.8961 Å, c = 3.7777 Å
α = 90.00°, β = 90.00°, γ = 90.00°
Space group P4/mmm (No. 123)
Symmetry-distinct sites (fractional):
Nb: 0.0000 0.0000 0.0000
Fe: 0.5000 0.5000 0.0000
Ru: 0.0000 0.5000 0.5000

Calculated values
ΔE_f	-85	meV/atom

Record 19
A relaxed structure of NbFeRu2. Source: Alexandria via LeMat-Bulk, functional GGA-PBE.

a = 3.1444 Å, b = 3.1444 Å, c = 5.9960 Å
α = 90.00°, β = 90.00°, γ = 90.00°
Space group P4/mmm (No. 123)
Symmetry-distinct sites (fractional):
Nb: 0.0000 0.0000 0.0000
Fe: 0.0000 0.0000 0.5000
Ru: 0.5000 0.5000 0.2595

Calculated values
ΔE_f	-85	meV/atom

Record 20
A relaxed structure of Nb6FeRu5. Source: Alexandria via LeMat-Bulk, functional GGA-PBE.

a = 14.0608 Å, b = 6.1586 Å, c = 4.5499 Å
α = 90.00°, β = 104.13°, γ = 90.00°
Space group C2/m (No. 12)
Symmetry-distinct sites (fractional):
Nb: 0.0000 0.2466 0.0000
Nb: 0.1604 0.2490 0.6810
Fe: 0.0000 0.0000 0.5000
Ru: 0.0000 0.5000 0.5000
Ru: 0.1718 0.0000 0.1946
Ru: 0.1743 0.5000 0.1985

Calculated values
ΔE_f	-181	meV/atom